# Cu2TeCl (PBE, optimized geometry)
# Density   5.1 g cm⁻³
# Polymorph energy (0 for the lowest one)   0.326 eV/atom
# Uncorrected formation energy   0.100 eV per atom
# Calculated total energy   -3.195 eV per atom
# Crystal system   orthorhombic
data_Cu2TeCl
_chemical_formula_sum 'Cu2 Te1 Cl1'
_cell_length_a 3.7690
_cell_length_b 7.2948
_cell_length_c 3.4322
_cell_angle_alpha 90.00
_cell_angle_beta 90.00
_cell_angle_gamma 90.00
_symmetry_space_group_name_H-M 'P 1'
_symmetry_Int_Tables_number 1
loop_
_symmetry_equiv_pos_as_xyz
'x,y,z'
loop_
_atom_site_label
_atom_site_type_symbol
_atom_site_fract_x
_atom_site_fract_y
_atom_site_fract_z
Cu1 Cu 0.0000 0.0000 0.0000
Cu2 Cu 0.5000 0.5000 0.0000
Cl1 Cl 0.0000 0.5000 0.5000
Te1 Te 0.5000 0.0000 0.5000